4
Lattice="-3.3252 -0.0061 -1.0340 -0.9011 -1.6911 2.9077 -1.1831 7.1010 3.7632" Properties=species:S:1:pos:R:3 comment="CaZn, single point on PBEsol structure, DFT meta-GGA SCAN" formation_enthalpy_0k_ev_per_atom=-0.126 sg=P4/nmm e_tot_ev_per_atom=-11.72 pbc="T T T"
Zn -2.1640 3.0064 1.0779
Zn -1.1322 3.2460 3.6222
Ca -2.6201 5.7436 2.5285
Ca -0.6762 0.5088 2.1716

4
Lattice="-0.3325 -0.3249 4.0587 2.2965 -2.7025 2.0278 3.0340 1.2976 2.4084" Properties=species:S:1:pos:R:3 comment="Mn2BeTe, single point on PBEsol structure, DFT meta-GGA SCAN" e_form_raw_ev_per_atom=0.33 polymorph_energy_mev_per_atom=217 sg=Fm-3m e_tot_ev_per_atom=-19.20 pbc="T T T"
Be 0.0000 0.0000 0.0000
Te 2.4991 -0.8649 4.2475
Mn 1.2495 -0.4324 2.1237
Mn 3.7486 -1.2973 6.3712

4
Lattice="4.1911 0.0000 0.0000 0.0000 4.1911 0.0000 -2.0955 -2.0955 5.4399" Properties=species:S:1:pos:R:3 comment="K2AlNi, single point on PBEsol structure, DFT meta-GGA SCAN" formation_enthalpy_0k_ev_per_atom=0.775 sg=I4/mmm e_tot_ev_per_atom=-9.37 pbc="T T T"
Ni 2.0955 2.0955 0.0000
K 2.0955 0.0000 2.7199
K 0.0000 2.0955 2.7199
Al 0.0000 0.0000 0.0000

5
Lattice="-0.5598 1.7593 -3.2145 -1.5845 -3.0483 -1.3924 -4.6950 1.6536 1.7227" Properties=species:S:1:pos:R:3 comment="CuSbH2Au, single point on PBEsol structure, DFT meta-GGA SCAN" sg=P4/mmm e_tot_ev_per_atom=-25.26 pbc="T T T"
Sb 0.0000 0.0000 0.0000
Au -3.4197 0.1823 -1.4421
Cu -2.3475 0.8268 0.8613
H -0.7922 -1.5242 -0.6962
H -0.2799 0.8796 -1.6072

5
Lattice="4.5491 0.0000 0.0000 0.0000 4.9863 0.0000 0.0000 0.0000 4.9863" Properties=species:S:1:pos:R:3 comment="ZrSc2CoCu, single point on PBEsol structure, DFT meta-GGA SCAN" formation_enthalpy_0k_ev_per_atom=1.261 sg=P4/mmm e_tot_ev_per_atom=-17.07 pbc="T T T"
Sc 0.0000 0.0000 2.4931
Sc 0.0000 2.4931 0.0000
Co 2.2746 2.4931 2.4931
Cu 2.2746 0.0000 0.0000
Zr 0.0000 0.0000 0.0000

3
Lattice="-0.5683 3.0420 -0.8365 -1.1312 0.5969 2.9395 5.3516 -0.5717 0.4276" Properties=species:S:1:pos:R:3 comment="SiHgMo, single point on PBEsol structure, DFT meta-GGA SCAN" e_form_raw_ev_per_atom=0.37 polymorph_energy_mev_per_atom=0 sg=I4mm e_tot_ev_per_atom=-37.32 pbc="T T T"
Hg 3.6418 3.0644 2.5272
Mo 2.7090 0.7509 0.8901
Si 0.9533 2.3192 1.6439

4
Lattice="3.4284 0.0000 0.0000 0.0000 3.9351 0.0000 0.0000 0.0000 4.6320" Properties=species:S:1:pos:R:3 comment="InFe2Se, single point on PBEsol structure, DFT meta-GGA SCAN" e_form_raw_ev_per_atom=0.36 polymorph_energy_mev_per_atom=45 sg=Pmmm e_tot_ev_per_atom=-22.07 pbc="T T T"
Fe 0.0000 0.0000 0.0000
Fe 1.7142 0.0000 2.3160
In 1.7142 1.9676 0.0000
Se 0.0000 1.9676 2.3160

4
Lattice="4.9752 0.0000 0.0000 2.4876 4.3086 0.0000 2.4876 1.4362 4.0622" Properties=species:S:1:pos:R:3 comment="LiHfSb2, single point on PBEsol structure, DFT meta-GGA SCAN" e_form_raw_ev_per_atom=-0.26 sg=Fm-3m e_tot_ev_per_atom=-35.15 pbc="T T T"
Sb 2.4876 1.4362 1.0156
Sb 7.4628 4.3086 3.0467
Hf 4.9752 2.8724 2.0311
Li 0.0000 0.0000 0.0000

4
Lattice="-1.4619 -3.0011 -0.3688 3.0775 -1.8513 2.8662 -2.7653 0.9099 3.5569" Properties=species:S:1:pos:R:3 comment="LiSb2Ru, single point on PBEsol structure, DFT meta-GGA SCAN" e_form_raw_ev_per_atom=0.01 sg=P4/mmm e_tot_ev_per_atom=-27.93 pbc="T T T"
Li 0.8078 -2.4262 1.2487
Ru -2.1136 -1.0456 1.5940
Sb 0.0000 0.0000 0.0000
Sb 0.1561 -0.4707 3.2115

8
Lattice="4.5446 0.0000 0.0000 0.0000 4.8281 0.0000 0.0000 0.0000 5.6143" Properties=species:S:1:pos:R:3 comment="CuAg3, single point on PBEsol structure, DFT meta-GGA SCAN" formation_enthalpy_0k_ev_per_atom=0.095 sg=Pmmn e_tot_ev_per_atom=-27.23 pbc="T T T"
Ag 2.2723 1.6568 0.0000
Ag 0.0000 0.8119 4.2149
Ag 2.2723 4.0162 4.2066
Ag 0.0000 3.1713 2.8071
Ag 0.0000 0.8119 1.3994
Ag 2.2723 4.0162 1.4077
Cu 0.0000 3.2300 0.0000
Cu 2.2723 1.5981 2.8071

5
Lattice="4.4182 0.0000 0.0000 0.0000 4.4182 0.0000 0.0000 0.0000 4.7807" Properties=species:S:1:pos:R:3 comment="SrNbSiB2, single point on PBEsol structure, DFT meta-GGA SCAN" e_form_raw_ev_per_atom=0.44 sg=P4/mmm e_tot_ev_per_atom=-15.62 pbc="T T T"
Sr 2.2091 2.2091 2.3903
Nb 0.0000 0.0000 0.0000
B 0.0000 2.2091 0.0000
B 2.2091 0.0000 0.0000
Si 0.0000 0.0000 2.3903

4
Lattice="-2.5266 -1.0897 0.6657 1.9037 -2.0739 3.8306 -1.5080 4.3081 1.3284" Properties=species:S:1:pos:R:3 comment="TlTcRh2, single point on PBEsol structure, DFT meta-GGA SCAN" polymorph_energy_mev_per_atom=0 formation_enthalpy_0k_ev_per_atom=0.327 sg=Cmmm e_tot_ev_per_atom=-43.41 pbc="T T T"
Rh 0.9518 -1.0369 1.9153
Rh -0.7540 2.1540 0.6642
Tc -1.2633 -0.5448 0.3328
Tl -1.0655 0.5723 2.9123

Sequential volume output: 24.63; 12.05; 23.89; 14.48; 22.62; 16.79; 15.62; 21.77; 17.73; 15.40; 18.66; 15.27 Å³ per atom
Sequential theoretical density output: 3.56; 8.49; 2.85; 8.82; 4.46; 10.70; 8.12; 8.18; 8.23; 10.44; 4.10; 13.82 g cm⁻³